No. 1
## LaTeSe2I (GGA-PBE)

Data for LaTeSe2I after structural relaxation.

Structure (CIF):
```
data_LaTeSe2I
_chemical_formula_sum 'La1 Te1 Se2 I1'
_cell_length_a 5.610
_cell_length_b 5.610
_cell_length_c 6.629
_cell_angle_alpha 90.00
_cell_angle_beta 90.00
_cell_angle_gamma 90.00
_symmetry_space_group_name_H-M 'P 4/m m m'
_symmetry_Int_Tables_number 123
_symmetry_space_group_name_Hall '-P 4 2'
loop_
_atom_site_label
_atom_site_type_symbol
_atom_site_fract_x
_atom_site_fract_y
_atom_site_fract_z
La1 La 0.000 0.000 0.000
Te1 Te 0.000 0.000 0.500
Se1 Se 0.000 0.500 0.000
I1 I 0.500 0.500 0.500
```

Summary:
The calculation puts the formation energy without anion corrections at -20 kJ/mol of atoms.

No. 2
## YInSe3 (GGA-PBE)

Data for YInSe3 after structural relaxation.

Structure (CIF):
```
data_YInSe3
_chemical_formula_sum 'Y4 In4 Se12'
_cell_length_a 8.907
_cell_length_b 7.118
_cell_length_c 10.752
_cell_angle_alpha 90.00
_cell_angle_beta 118.11
_cell_angle_gamma 90.00
_symmetry_space_group_name_H-M 'P 1 21/c 1'
_symmetry_Int_Tables_number 14
loop_
_symmetry_equiv_pos_as_xyz
'x,y,z'
'-x,-y,-z'
'-x,y+1/2,-z+1/2'
'x,-y+1/2,z+1/2'
loop_
_atom_site_label
_atom_site_type_symbol
_atom_site_fract_x
_atom_site_fract_y
_atom_site_fract_z
Y1 Y 0.230 0.199 0.129
In1 In 0.401 0.743 0.486
Se1 Se 0.127 0.661 0.505
Se2 Se 0.279 0.111 0.406
Se3 Se 0.438 0.533 0.294
```

Summary:
The calculation puts the formation energy without anion corrections at -105 kJ/mol of atoms. As for the energy above the most stable polymorph in this dataset: 0.1029 eV/atom.

no.,calculated total energy (eV per atom)
1,-3.52
2,-5.02